The following is a PBE-GGA calculation of SrZnAg after structural relaxation, from Alexandria.

abc: 4.9437 4.9437 4.9437
angles: 60.00 60.00 60.00
Fractional positions:
Sr: 0.5000 0.5000 0.5000
Zn: 0.7500 0.7500 0.7500
Ag: 0.0000 0.0000 0.0000

## Properties
Fermi-level density of states (states/eV/f.u.): 2.29
Space-group type: F-43m
Formation energy from the elements (eV per atom): -0.051